# 1
Entry from Alexandria via LeMat-Bulk: crystalline Sn5Hg3Pb12 at its relaxed geometry (PBE).

Structure (CIF):
```
data_Sn5Hg3Pb12
_chemical_formula_sum 'Sn40 Hg24 Pb96'
_cell_length_a 17.931
_cell_length_b 17.931
_cell_length_c 17.931
_cell_angle_alpha 90.00
_cell_angle_beta 90.00
_cell_angle_gamma 90.00
_symmetry_space_group_name_H-M 'I a -3 d'
_symmetry_Int_Tables_number 230
_symmetry_space_group_name_Hall '-I 4bd 2c 3'
loop_
_atom_site_label
_atom_site_fract_x
_atom_site_fract_y
_atom_site_fract_z
_atom_site_occupancy
Sn1 0.000 0.000 0.000 1
Sn2 0.000 0.250 0.375 1
Hg1 0.000 0.250 0.125 1
Pb1 0.023 0.086 0.649 1
```

Calculated values
DFT formation energy: 198.3 meV per atom
Total magnetic moment: 0.000 μB per atom
N(E_F): 0.52 states/eV per atom

=====

# 2
Entry from Alexandria via LeMat-Bulk: crystalline Ta2Ni at its relaxed geometry (PBE).

Structure (CIF):
```
data_Ta2Ni
_chemical_formula_sum 'Ta8 Ni4'
_cell_length_a 5.938
_cell_length_b 5.938
_cell_length_c 5.938
_cell_angle_alpha 90.00
_cell_angle_beta 90.00
_cell_angle_gamma 90.00
_symmetry_space_group_name_H-M 'P a -3'
_symmetry_Int_Tables_number 205
_symmetry_space_group_name_Hall '-P 2ac 2ab 3'
loop_
_atom_site_label
_atom_site_fract_x
_atom_site_fract_y
_atom_site_fract_z
_atom_site_occupancy
Ta1 0.139 0.139 0.139 1
Ni1 0.000 0.000 0.500 1
```

Calculated values
DFT formation energy: 450.9 meV per atom
Total magnetic moment: 0.000 μB per atom
N(E_F): 0.86 states/eV per atom

=====

# 3
Entry from Alexandria via LeMat-Bulk: crystalline HoSc6In3 at its relaxed geometry (PBE).

Structure (CIF):
```
data_HoSc6In3
_chemical_formula_sum 'Ho4 Sc24 In12'
_cell_length_a 10.618
_cell_length_b 11.962
_cell_length_c 8.132
_cell_angle_alpha 90.00
_cell_angle_beta 90.00
_cell_angle_gamma 90.00
_symmetry_space_group_name_H-M 'C m c 21'
_symmetry_Int_Tables_number 36
loop_
_symmetry_equiv_pos_as_xyz
'x,y,z'
'-x,-y,z+1/2'
'-x,y,z'
'x,-y,z+1/2'
'x+1/2,y+1/2,z'
'-x+1/2,-y+1/2,z+1/2'
'-x+1/2,y+1/2,z'
'x+1/2,-y+1/2,z+1/2'
loop_
_atom_site_label
_atom_site_fract_x
_atom_site_fract_y
_atom_site_fract_z
_atom_site_occupancy
Ho1 0.000 0.185 0.000 1
Sc1 0.000 0.268 0.585 1
Sc2 0.000 0.469 0.189 1
Sc3 0.169 0.070 0.659 1
Sc4 0.239 0.324 0.808 1
In1 0.000 0.078 0.356 1
In2 0.194 0.411 0.459 1
```

Calculated values
DFT formation energy: -155.7 meV per atom
Total magnetic moment: 0.003 μB per atom
N(E_F): 1.61 states/eV per atom

=====

# 4
Entry from Alexandria via LeMat-Bulk: crystalline MnCo2P at its relaxed geometry (PBE).

Structure (CIF):
```
data_MnCo2P
_chemical_formula_sum 'Mn2 Co4 P2'
_cell_length_a 3.496
_cell_length_b 2.656
_cell_length_c 9.559
_cell_angle_alpha 90.00
_cell_angle_beta 90.00
_cell_angle_gamma 90.00
_symmetry_space_group_name_H-M 'A m m 2'
_symmetry_Int_Tables_number 38
loop_
_symmetry_equiv_pos_as_xyz
'x,y,z'
'-x,-y,z'
'-x,y,z'
'x,-y,z'
'x,y+1/2,z+1/2'
'-x,-y+1/2,z+1/2'
'-x,y+1/2,z+1/2'
'x,-y+1/2,z+1/2'
loop_
_atom_site_label
_atom_site_fract_x
_atom_site_fract_y
_atom_site_fract_z
_atom_site_occupancy
Mn1 0.000 0.000 0.000 1
Co1 0.000 0.000 0.736 1
Co2 0.500 0.000 0.356 1
P1 0.500 0.000 0.597 1
```

Calculated values
DFT formation energy: -185.1 meV per atom
Total magnetic moment: 1.006 μB per atom
N(E_F): 0.95 states/eV per atom